5
Lattice="5.461 0.000 0.000 0.000 5.461 0.000 0.000 0.000 5.505" Properties=species:S:1:pos:R:3 comment="PBE RbHg2AuSe, relaxed" sg="P4/mmm, No. 123" n_ef_per_ev_cell=0.56 dft_energy_ev_per_cell=-9.72 vol_a3_per_cell=164 pbc="T T T"
Rb 0.000 0.000 0.000
Hg 0.000 2.730 2.752
Hg 2.730 0.000 2.752
Au 2.730 2.730 2.752
Se 2.730 2.730 0.000



5
Lattice="5.454 0.000 0.000 0.000 5.454 0.000 0.000 0.000 4.903" Properties=species:S:1:pos:R:3 comment="PBE RbSiHg2Au, relaxed" sg="P4/mmm, No. 123" n_ef_per_ev_cell=3.58 dft_energy_ev_per_cell=-10.52 vol_a3_per_cell=146 pbc="T T T"
Rb 0.000 0.000 0.000
Si 2.727 2.727 2.451
Hg 0.000 2.727 2.451
Hg 2.727 0.000 2.451
Au 2.727 2.727 0.000



5
Lattice="5.053 0.000 0.000 0.000 5.053 0.000 0.000 0.000 5.245" Properties=species:S:1:pos:R:3 comment="PBE RbSiHgAu2, relaxed" sg="P4/mmm, No. 123" n_ef_per_ev_cell=1.78 dft_energy_ev_per_cell=-13.91 vol_a3_per_cell=134 pbc="T T T"
Rb 0.000 0.000 0.000
Si 2.527 2.527 2.623
Hg 2.527 2.527 0.000
Au 0.000 2.527 2.623
Au 2.527 0.000 2.623



5
Lattice="5.482 0.000 0.000 0.000 5.482 0.000 0.000 0.000 5.607" Properties=species:S:1:pos:R:3 comment="PBE RbSnHgAu2, relaxed" sg="P4/mmm, No. 123" delta_e_f_ev_per_atom=-0.14 n_ef_per_ev_cell=0.76 relative_energy_mev_per_atom=38 dft_energy_ev_per_cell=-12.52 vol_a3_per_cell=169 pbc="T T T"
Rb 0.000 0.000 0.000
Sn 2.741 2.741 2.804
Hg 2.741 2.741 0.000
Au 0.000 2.741 2.804
Au 2.741 0.000 2.804



12
Lattice="4.836 0.000 0.000 -2.418 4.188 0.000 0.000 0.000 20.278" Properties=species:S:1:pos:R:3 comment="PBE RbSnHgAu, relaxed" sg="R3m, No. 160" delta_e_f_ev_per_atom=-0.18 n_ef_per_ev_cell=5.26 dft_energy_ev_per_cell=-27.78 vol_a3_per_cell=411 pbc="T T T"
Rb 0.000 0.000 0.000
Rb 0.000 2.792 13.519
Rb 2.418 1.396 6.759
Sn 0.000 0.000 16.357
Sn 0.000 2.792 9.598
Sn 2.418 1.396 2.839
Hg 0.000 0.000 4.161
Hg 0.000 2.792 17.680
Hg 2.418 1.396 10.921
Au 0.000 0.000 9.214
Au 0.000 2.792 2.455
Au 2.418 1.396 15.973



10
Lattice="4.389 0.000 0.000 0.000 4.924 0.000 0.000 0.000 12.816" Properties=species:S:1:pos:R:3 comment="PBE RbSnHgAu2, relaxed" sg="Imm2, No. 44" delta_e_f_ev_per_atom=-0.18 n_ef_per_ev_cell=4.78 relative_energy_mev_per_atom=0 dft_energy_ev_per_cell=-25.43 vol_a3_per_cell=277 pbc="T T T"
Rb 0.000 0.000 0.000
Rb 2.194 2.462 6.408
Sn 0.000 2.462 9.708
Sn 2.194 0.000 3.300
Hg 0.000 0.000 7.834
Hg 2.194 2.462 1.426
Au 0.000 0.000 4.993
Au 0.000 2.462 3.421
Au 2.194 0.000 9.830
Au 2.194 2.462 11.401